# 1
Entry from Alexandria: LiRu2Cl at its PBEsol-relaxed geometry (SCAN).

Cell lengths 2.8683, 7.2156, 7.2156 Å; angles 22.97, 90.00, 90.00 degrees
With the nearest neighbours (Å) after each atom.
Fractional positions:
Li 0.0000 0.0000 0.0000  4 Cl 2.45
Ru 0.0000 0.7456 0.7456  4 Ru 2.51, 2 Cl 2.55
Ru 0.5000 0.3494 0.3494  4 Ru 2.51
Cl 0.5000 0.5966 0.5966  4 Li 2.45, 2 Ru 2.55

Calculated values
- N(E_F): 2.15 states/eV/cell
- Uncorrected formation energy: -0.112 eV/atom
- Excess energy over the best structure of this formula in the dataset: 0.000 eV per atom
- SG: Amm2, No. 38

# 2
Entry from Alexandria: BeCu2Au at its PBEsol-relaxed geometry (SCAN).

Cell lengths 3.5405, 3.5405, 3.8517 Å; angles 90.00, 90.00, 90.00 degrees
With the nearest neighbours (Å) after each atom.
Fractional positions:
Be 0.0000 0.0000 0.0000  4 Au 2.50, 8 Cu 2.62
Cu 0.0000 0.5000 0.5000  4 Cu 2.50, 4 Be 2.62, 4 Au 2.62
Cu 0.5000 0.0000 0.5000  4 Cu 2.50, 4 Be 2.62, 4 Au 2.62
Au 0.5000 0.5000 0.0000  4 Be 2.50, 8 Cu 2.62

Calculated values
- N(E_F): 1.23 states/eV/cell
- SG: P4/mmm, No. 123
- E_tot: -26.1097 eV per atom

# 3
Entry from Alexandria: ZrB3S at its PBEsol-relaxed geometry (SCAN).

Cell lengths 3.8362, 3.8362, 3.8362 Å; angles 90.00, 90.00, 90.00 degrees
With the nearest neighbours (Å) after each atom.
Fractional positions:
Zr 0.0000 0.0000 0.0000  12 B 2.71
B 0.0000 0.5000 0.5000  2 S 1.92
B 0.5000 0.0000 0.5000  2 S 1.92
B 0.5000 0.5000 0.0000  2 S 1.92
S 0.5000 0.5000 0.5000  6 B 1.92

Calculated values
- N(E_F): 2.33 states/eV/cell
- Uncorrected formation energy: 1.172 eV/atom
- Excess energy over the best structure of this formula in the dataset: 0.000 eV per atom
- SG: Pm-3m, No. 221

# 4
Entry from Alexandria: Cs3BiBr at its PBEsol-relaxed geometry (SCAN).

Cell lengths 6.6496, 6.6496, 6.6496 Å; angles 90.00, 90.00, 90.00 degrees
With the nearest neighbours (Å) after each atom.
Fractional positions:
Cs 0.0000 0.0000 0.5000  2 Br 3.32
Cs 0.0000 0.5000 0.0000  2 Br 3.32
Cs 0.5000 0.0000 0.0000  2 Br 3.32
Bi 0.5000 0.5000 0.5000  12 Cs 4.70
Br 0.0000 0.0000 0.0000  6 Cs 3.32

Calculated values
- N(E_F): 5.13 states/eV/cell
- Uncorrected formation energy: -0.841 eV/atom
- SG: Pm-3m, No. 221

# 5
Entry from Alexandria: BeAu2Br at its PBEsol-relaxed geometry (SCAN).

Cell lengths 5.1925, 5.1925, 6.4357 Å; angles 105.96, 105.96, 33.72 degrees
With the nearest neighbours (Å) after each atom.
Fractional positions:
Be 0.0000 0.0000 0.0000  2 Br 2.19, 2 Au 2.44
Au 0.4122 0.4122 0.2305  2 Be 2.44, 3 Au 2.69-2.73
Au 0.6809 0.6809 0.2196  2 Be 2.46, 3 Au 2.69-2.73
Br 0.4524 0.4524 0.7413  2 Be 2.19

Calculated values
- N(E_F): 0.50 states/eV/cell
- Uncorrected formation energy: -0.161 eV/atom
- SG: Cm, No. 8

# 6
Entry from Alexandria: CdPbAu2 at its PBEsol-relaxed geometry (SCAN).

Cell lengths 3.2199, 3.5532, 7.2136 Å; angles 90.00, 90.00, 90.00 degrees
With the nearest neighbours (Å) after each atom.
Fractional positions:
Cd 0.0000 0.0000 0.0000  8 Au 2.87
Pb 0.0000 0.0000 0.5000  8 Au 3.14, 2 Pb 3.22
Au 0.5000 0.5000 0.2192  4 Cd 2.87, 4 Pb 3.14, 1 Au 3.16
Au 0.5000 0.5000 0.7808  4 Cd 2.87, 4 Pb 3.14, 1 Au 3.16

Calculated values
- N(E_F): 1.23 states/eV/cell
- SG: Pmmm, No. 47
- E_tot: -61.2145 eV per atom

# 7
Entry from Alexandria: MgB4 at its PBEsol-relaxed geometry (SCAN).

Cell lengths 5.4402, 4.3830, 7.4202 Å; angles 90.00, 90.00, 90.00 degrees
With the nearest neighbours (Å) after each atom.
Fractional positions:
Mg 0.0486 0.2500 0.1380  7 B 2.36-2.64
Mg 0.4514 0.7500 0.6380  7 B 2.36-2.64
Mg 0.5486 0.2500 0.3620  7 B 2.36-2.64
Mg 0.9514 0.7500 0.8620  7 B 2.36-2.64
B 0.0539 0.2500 0.6463  6 B 1.74-1.82
B 0.1328 0.0579 0.4369  5 B 1.68-1.82
B 0.1328 0.4421 0.4369  5 B 1.68-1.82
B 0.2219 0.2500 0.8458  4 B 1.70-1.81
B 0.2781 0.7500 0.3458  4 B 1.70-1.81
B 0.3672 0.5579 0.9369  5 B 1.68-1.82
B 0.3672 0.9421 0.9369  5 B 1.68-1.82
B 0.4461 0.7500 0.1463  6 B 1.74-1.82
B 0.5539 0.2500 0.8537  6 B 1.74-1.82
B 0.6328 0.0579 0.0631  5 B 1.68-1.82
B 0.6328 0.4421 0.0631  5 B 1.68-1.82
B 0.7219 0.2500 0.6542  4 B 1.70-1.81
B 0.7781 0.7500 0.1542  4 B 1.70-1.81
B 0.8672 0.5579 0.5631  5 B 1.68-1.82
B 0.8672 0.9421 0.5631  5 B 1.68-1.82
B 0.9461 0.7500 0.3537  6 B 1.74-1.82

Calculated values
- SG: Pnma, No. 62
- E_tot: -7.1204 eV per atom

# 8
Entry from Alexandria: Fe2OsRh at its PBEsol-relaxed geometry (SCAN).

Cell lengths 2.7496, 4.2610, 4.4171 Å; angles 90.00, 90.00, 90.00 degrees
With the nearest neighbours (Å) after each atom.
Fractional positions:
Fe 0.0000 0.0000 0.0000  4 Rh 2.54, 6 Fe 2.60-2.75
Fe 0.5000 0.0000 0.5000  4 Os 2.54, 6 Fe 2.60-2.75
Os 0.0000 0.5000 0.5000  4 Fe 2.54, 4 Rh 2.60, 2 Os 2.75
Rh 0.5000 0.5000 0.0000  4 Fe 2.54, 4 Os 2.60, 2 Rh 2.75

Calculated values
- N(E_F): 3.29 states/eV/cell
- Excess energy over the best structure of this formula in the dataset: 0.102 eV per atom
- SG: Pmmm, No. 47

# 9
Entry from Alexandria: KTi2PtS at its PBEsol-relaxed geometry (SCAN).

Cell lengths 4.5774, 4.5774, 4.6716 Å; angles 90.00, 90.00, 90.00 degrees
With the nearest neighbours (Å) after each atom.
Fractional positions:
K 0.0000 0.0000 0.0000  4 Pt 3.24, 8 Ti 3.27
Ti 0.0000 0.5000 0.5000  2 S 2.29
Ti 0.5000 0.0000 0.5000  2 S 2.29
Pt 0.5000 0.5000 0.0000  2 S 2.34
S 0.5000 0.5000 0.5000  4 Ti 2.29, 2 Pt 2.34

Calculated values
- N(E_F): 4.46 states/eV/cell
- Uncorrected formation energy: 0.033 eV/atom
- SG: P4/mmm, No. 123

# 10
Entry from Alexandria: Mn2FeCo at its PBEsol-relaxed geometry (SCAN).

Cell lengths 4.6491, 4.6491, 4.6491 Å; angles 145.99, 129.86, 61.97 degrees
With the nearest neighbours (Å) after each atom.
Fractional positions:
Mn 0.2475 0.2475 0.0000  4 Mn 2.39, 2 Fe 2.40, 2 Co 2.43
Mn 0.7525 0.7525 0.0000  4 Mn 2.39, 2 Fe 2.40, 2 Co 2.43
Fe 0.0000 0.5000 0.5000  4 Co 2.39, 4 Mn 2.40
Co 0.5000 0.0000 0.5000  4 Fe 2.39, 4 Mn 2.43

Calculated values
- N(E_F): 3.63 states/eV/cell
- Excess energy over the best structure of this formula in the dataset: 0.170 eV per atom
- SG: Immm, No. 71

# 11
Entry from Alexandria: MgAl2As at its PBEsol-relaxed geometry (SCAN).

Cell lengths 9.5349, 9.5349, 9.5349 Å; angles 18.07, 18.07, 18.07 degrees
With the nearest neighbours (Å) after each atom.
Fractional positions:
Mg 0.0000 0.0000 0.0000  6 Al 2.99, 6 Mg 2.99
Al 0.2468 0.2468 0.2468  3 As 2.84, 3 Mg 2.99, 6 Al 2.99
Al 0.7532 0.7532 0.7532  3 As 2.84, 3 Mg 2.99, 6 Al 2.99
As 0.5000 0.5000 0.5000  6 Al 2.84, 6 As 2.99

Calculated values
- N(E_F): 1.59 states/eV/cell
- Excess energy over the best structure of this formula in the dataset: 0.088 eV per atom
- SG: R-3m, No. 166

# 12
Entry from Alexandria: SrIn2Cl at its PBEsol-relaxed geometry (SCAN).

Cell lengths 10.0025, 10.0025, 10.0025 Å; angles 21.35, 21.35, 21.35 degrees
With the nearest neighbours (Å) after each atom.
Fractional positions:
Sr 0.0000 0.0000 0.0000  6 In 3.48, 6 Sr 3.71
In 0.2397 0.2397 0.2397  3 Cl 3.03
In 0.7603 0.7603 0.7603  3 Cl 3.03
Cl 0.5000 0.5000 0.5000  6 In 3.03

Calculated values
- N(E_F): 2.31 states/eV/cell
- Uncorrected formation energy: -0.355 eV/atom
- Excess energy over the best structure of this formula in the dataset: 0.608 eV per atom
- SG: R-3m, No. 166